[1]
Density functional theory data (GGA-PBE) for crystalline Li3Pm2ErS6 at its relaxed geometry.

Cell lengths 6.8988, 6.8988, 6.5988 Å; angles 99.92, 99.92, 120.07 degrees
Closest atoms and distances in Å follow each position.
Sites, in units of the cell vectors:
Li1 0.1595 0.8405 0.5000  6 S 2.68-2.88
Li2 0.8405 0.1595 0.5000  6 S 2.68-2.88
Li3 0.5000 0.5000 0.5000  6 S 2.74-2.81
Pm1 0.3328 0.6672 0.0000  6 S 2.81
Pm2 0.6672 0.3328 0.0000  6 S 2.81
Er1 0.0000 0.0000 0.0000  6 S 2.73
S1 0.9161 0.5923 0.7466  3 Li 2.72-2.88, 1 Er 2.73, 2 Pm 2.81
S2 0.7587 0.7587 0.2518  3 Li 2.68-2.81, 1 Er 2.73, 2 Pm 2.81
S3 0.0839 0.4077 0.2534  3 Li 2.72-2.88, 1 Er 2.73, 2 Pm 2.81
S4 0.5923 0.9161 0.7466  3 Li 2.72-2.88, 1 Er 2.73, 2 Pm 2.81
S5 0.2413 0.2413 0.7482  3 Li 2.68-2.81, 1 Er 2.73, 2 Pm 2.81
S6 0.4077 0.0839 0.2534  3 Li 2.72-2.88, 1 Er 2.73, 2 Pm 2.81

DOS(E_F) ... 0.00 states/eV per cell
Energy relative to the elements, uncorrected ... -175 kJ per mole of atoms
Crystal system ... monoclinic
Symmetry ... No. 12

---

[2]
Density functional theory data (GGA-PBE) for crystalline LiPm3Er2S6 at its relaxed geometry.

Cell lengths 6.7908, 6.7908, 6.8775 Å; angles 99.49, 99.49, 120.15 degrees
Closest atoms and distances in Å follow each position.
Sites, in units of the cell vectors:
Li1 0.0000 0.0000 0.0000  6 S 2.68-2.70
Pm1 0.1649 0.8351 0.5000  6 S 2.83-2.89
Pm2 0.8351 0.1649 0.5000  6 S 2.83-2.89
Pm3 0.5000 0.5000 0.5000  6 S 2.84-2.90
Er1 0.3344 0.6656 0.0000  6 S 2.72-2.74
Er2 0.6656 0.3344 0.0000  6 S 2.72-2.74
S1 0.9226 0.5934 0.7667  1 Li 2.70, 2 Er 2.74, 3 Pm 2.84-2.89
S2 0.7494 0.7494 0.2299  1 Li 2.68, 2 Er 2.72, 3 Pm 2.83-2.90
S3 0.0774 0.4066 0.2333  1 Li 2.70, 2 Er 2.74, 3 Pm 2.84-2.89
S4 0.5934 0.9226 0.7667  1 Li 2.70, 2 Er 2.74, 3 Pm 2.84-2.89
S5 0.2506 0.2506 0.7701  1 Li 2.68, 2 Er 2.72, 3 Pm 2.83-2.90
S6 0.4066 0.0774 0.2333  1 Li 2.70, 2 Er 2.74, 3 Pm 2.84-2.89

DOS(E_F) ... 4.44 states/eV per cell
Energy relative to the elements, uncorrected ... -189 kJ per mole of atoms
Crystal system ... monoclinic
Symmetry ... No. 12

---

[3]
Density functional theory data (GGA-PBE) for crystalline LiPm3Er3S8 at its relaxed geometry.

Cell lengths 7.8189, 7.8186, 7.8750 Å; angles 119.76, 90.00, 120.00 degrees
Closest atoms and distances in Å follow each position.
Sites, in units of the cell vectors:
Li1 0.0000 0.0000 0.5000  6 S 2.71
Pm1 0.0000 0.0000 0.0000  6 S 2.82-2.83
Pm2 0.0000 0.5000 0.0000  6 S 2.82-2.83
Pm3 0.5000 0.5000 0.0000  6 S 2.82-2.83
Er1 0.5000 0.0000 0.5000  6 S 2.72-2.73
Er2 0.5000 0.5000 0.5000  6 S 2.72-2.73
Er3 0.0000 0.5000 0.5000  6 S 2.72-2.73
S1 0.2544 0.5087 0.2631  3 Er 2.73, 3 Pm 2.82
S2 0.7456 0.4913 0.7369  3 Er 2.73, 3 Pm 2.82
S3 0.7555 0.5111 0.2646  1 Li 2.71, 2 Er 2.72, 2 Pm 2.83
S4 0.2445 0.4889 0.7354  1 Li 2.71, 2 Er 2.72, 2 Pm 2.83
S5 0.7555 0.0091 0.2646  1 Li 2.71, 2 Er 2.72, 2 Pm 2.83
S6 0.2445 0.9909 0.7354  1 Li 2.71, 2 Er 2.72, 2 Pm 2.83
S7 0.2536 0.0091 0.2646  1 Li 2.71, 2 Er 2.72, 2 Pm 2.83
S8 0.7464 0.9909 0.7354  1 Li 2.71, 2 Er 2.72, 2 Pm 2.83

DOS(E_F) ... 4.38 states/eV per cell
Energy relative to the elements, uncorrected ... -192 kJ per mole of atoms
Crystal system ... trigonal
Symmetry ... No. 166